{"formula": "Pr2Al7Pd", "functional": "PBE", "state": "relaxed", "magnetic_moment_mub_per_cell": 0.000, "formation_enthalpy_0k_ev_per_atom": -0.499, "e_tot_ev_per_atom": -4.594, "dos_at_fermi_per_ev_atom": 0.3178, "sg": "No. 115", "cell": [[4.2711, 0.0000, 0.0000], [0.0000, 4.2711, 0.0000], [0.0000, 0.0000, 11.1505]], "species": ["Pr", "Pr", "Al", "Al", "Al", "Al", "Al", "Al", "Al", "Pd"], "fractional_positions": [[0.0000, 0.5000, 0.2482], [0.5000, 0.0000, 0.7518], [0.0000, 0.0000, 0.0000], [0.0000, 0.5000, 0.6284], [0.0000, 0.5000, 0.8572], [0.5000, 0.0000, 0.1428], [0.5000, 0.0000, 0.3716], [0.5000, 0.5000, 0.0000], [0.5000, 0.5000, 0.5000], [0.0000, 0.0000, 0.5000]]}


{"formula": "PrAl7Pd5", "functional": "PBE", "state": "relaxed", "magnetic_moment_mub_per_cell": 0.000, "formation_enthalpy_0k_ev_per_atom": -0.736, "e_tot_ev_per_atom": -5.116, "dos_at_fermi_per_ev_atom": 0.3993, "sg": "No. 44", "cell": [[-2.7094, 4.5832, 4.3872], [2.7094, -4.5832, 4.3872], [2.7094, 4.5832, -4.3872]], "species": ["Pr", "Al", "Al", "Al", "Al", "Al", "Al", "Al", "Pd", "Pd", "Pd", "Pd", "Pd"], "fractional_positions": [[0.0000, 0.0000, 0.0000], [0.2073, 0.4960, 0.7114], [0.2370, 0.7370, 0.5000], [0.3587, 0.3587, 0.0000], [0.3700, 0.0210, 0.3489], [0.6568, 0.6568, 0.0000], [0.6721, 0.0210, 0.6511], [0.7846, 0.4960, 0.2886], [0.0217, 0.0021, 0.5161], [0.0217, 0.5056, 0.0197], [0.4860, 0.0021, 0.9803], [0.4860, 0.5056, 0.4839], [0.7790, 0.2790, 0.5000]]}


{"formula": "Pr3Al9Pd2", "functional": "PBE", "state": "relaxed", "magnetic_moment_mub_per_cell": 0.000, "formation_enthalpy_0k_ev_per_atom": -0.608, "e_tot_ev_per_atom": -4.779, "dos_at_fermi_per_ev_atom": 0.4033, "sg": "No. 71", "cell": [[-2.1941, 5.0251, 6.3775], [2.1941, -5.0251, 6.3775], [2.1941, 5.0251, -6.3775]], "species": ["Pr", "Pr", "Pr", "Al", "Al", "Al", "Al", "Al", "Al", "Al", "Al", "Al", "Pd", "Pd"], "fractional_positions": [[0.0000, 0.0000, 0.0000], [0.3082, 0.3082, 0.0000], [0.6918, 0.6918, 0.0000], [0.0250, 0.6600, 0.3650], [0.1531, 0.8731, 0.2800], [0.2951, 0.6600, 0.6350], [0.4069, 0.1269, 0.2800], [0.5000, 0.0000, 0.5000], [0.5931, 0.8731, 0.7200], [0.7049, 0.3400, 0.3650], [0.8469, 0.1269, 0.7200], [0.9750, 0.3400, 0.6350], [0.2903, 0.5000, 0.7903], [0.7097, 0.5000, 0.2097]]}


{"formula": "Pr8Al2Pd", "functional": "PBE", "state": "relaxed", "magnetic_moment_mub_per_cell": 0.000, "de_polymorph_ev_per_fu": 0.44, "formation_enthalpy_0k_ev_per_atom": -0.203, "e_tot_ev_per_atom": -4.832, "dos_at_fermi_per_ev_atom": 1.1577, "sg": "No. 71", "cell": [[-2.7327, 3.5884, 8.4219], [2.7327, -3.5884, 8.4219], [2.7327, 3.5884, -8.4219]], "species": ["Pr", "Pr", "Pr", "Pr", "Pr", "Pr", "Pr", "Pr", "Al", "Al", "Pd"], "fractional_positions": [[0.1282, 0.3655, 0.7627], [0.1972, 0.1972, 0.0000], [0.2580, 0.0000, 0.2580], [0.3972, 0.6345, 0.7627], [0.6028, 0.3655, 0.2373], [0.7420, 0.0000, 0.7420], [0.8028, 0.8028, 0.0000], [0.8718, 0.6345, 0.2373], [0.3155, 0.8155, 0.5000], [0.6845, 0.1845, 0.5000], [0.0000, 0.5000, 0.5000]]}


{"formula": "Pr2Al5Pd3", "functional": "PBE", "state": "relaxed", "magnetic_moment_mub_per_cell": 0.000, "de_polymorph_ev_per_fu": 0.00, "formation_enthalpy_0k_ev_per_atom": -0.789, "e_tot_ev_per_atom": -5.174, "dos_at_fermi_per_ev_atom": 0.5464, "sg": "No. 72", "cell": [[-5.2541, 6.3858, 2.9289], [5.2541, -6.3858, 2.9289], [5.2541, 6.3858, -2.9289]], "species": ["Pr", "Pr", "Pr", "Pr", "Al", "Al", "Al", "Al", "Al", "Al", "Al", "Al", "Al", "Al", "Pd", "Pd", "Pd", "Pd", "Pd", "Pd"], "fractional_positions": [[0.1394, 0.2242, 0.3636], [0.3606, 0.7242, 0.0848], [0.6394, 0.2758, 0.9152], [0.8606, 0.7758, 0.6364], [0.0361, 0.7500, 0.2861], [0.0953, 0.6625, 0.7578], [0.2500, 0.2500, 0.0000], [0.4047, 0.1625, 0.5672], [0.4639, 0.7500, 0.7139], [0.5361, 0.2500, 0.2861], [0.5953, 0.8375, 0.4328], [0.7500, 0.7500, 0.0000], [0.9047, 0.3375, 0.2422], [0.9639, 0.2500, 0.7139], [0.1400, 0.8996, 0.0396], [0.2500, 0.7500, 0.5000], [0.3600, 0.3996, 0.7596], [0.6400, 0.6004, 0.2404], [0.7500, 0.2500, 0.5000], [0.8600, 0.1004, 0.9604]]}


{"formula": "PrAl3Pd3", "functional": "PBE", "state": "relaxed", "magnetic_moment_mub_per_cell": 0.000, "formation_enthalpy_0k_ev_per_atom": -0.665, "e_tot_ev_per_atom": -5.178, "dos_at_fermi_per_ev_atom": 0.3239, "sg": "No. 148", "cell": [[3.3988, 1.9623, 6.6181], [-3.3988, 1.9623, 6.6181], [0.0000, -3.9245, 6.6181]], "species": ["Pr", "Pr", "Al", "Al", "Al", "Al", "Al", "Al", "Pd", "Pd", "Pd", "Pd", "Pd", "Pd"], "fractional_positions": [[0.1579, 0.1579, 0.1579], [0.8421, 0.8421, 0.8421], [0.0566, 0.5866, 0.2388], [0.2388, 0.0566, 0.5866], [0.4134, 0.7612, 0.9434], [0.5866, 0.2388, 0.0566], [0.7612, 0.9434, 0.4134], [0.9434, 0.4134, 0.7612], [0.1892, 0.6667, 0.4085], [0.3333, 0.5915, 0.8108], [0.4085, 0.1892, 0.6667], [0.5915, 0.8108, 0.3333], [0.6667, 0.4085, 0.1892], [0.8108, 0.3333, 0.5915]]}


{"formula": "Pr3Al2Pd3", "functional": "PBE", "state": "relaxed", "magnetic_moment_mub_per_cell": 0.000, "formation_enthalpy_0k_ev_per_atom": -0.764, "e_tot_ev_per_atom": -5.439, "dos_at_fermi_per_ev_atom": 0.8292, "sg": "No. 63", "cell": [[2.2018, -5.7698, 0.0000], [2.2018, 5.7698, 0.0000], [0.0000, 0.0000, 14.4033]], "species": ["Pr", "Pr", "Pr", "Pr", "Pr", "Pr", "Al", "Al", "Al", "Al", "Pd", "Pd", "Pd", "Pd", "Pd", "Pd"], "fractional_positions": [[0.0738, 0.9262, 0.6108], [0.0738, 0.9262, 0.8892], [0.3557, 0.6443, 0.7500], [0.6443, 0.3557, 0.2500], [0.9262, 0.0738, 0.1108], [0.9262, 0.0738, 0.3892], [0.2203, 0.7797, 0.0819], [0.2203, 0.7797, 0.4181], [0.7797, 0.2203, 0.5819], [0.7797, 0.2203, 0.9181], [0.3266, 0.6734, 0.2500], [0.3862, 0.6138, 0.5417], [0.3862, 0.6138, 0.9583], [0.6138, 0.3862, 0.0417], [0.6138, 0.3862, 0.4583], [0.6734, 0.3266, 0.7500]]}


{"formula": "Pr8Al2Pd", "functional": "PBE", "state": "relaxed", "magnetic_moment_mub_per_cell": 0.000, "de_polymorph_ev_per_fu": 0.00, "formation_enthalpy_0k_ev_per_atom": -0.243, "e_tot_ev_per_atom": -4.871, "dos_at_fermi_per_ev_atom": 0.9684, "sg": "No. 12", "cell": [[9.5656, -2.5945, 0.0000], [9.5656, 2.5945, 0.0000], [-1.5705, 0.0000, 6.7930]], "species": ["Pr", "Pr", "Pr", "Pr", "Pr", "Pr", "Pr", "Pr", "Al", "Al", "Pd"], "fractional_positions": [[0.0203, 0.0203, 0.2759], [0.2083, 0.2083, 0.7991], [0.3463, 0.3463, 0.5295], [0.4054, 0.4054, 0.0382], [0.5946, 0.5946, 0.9618], [0.6537, 0.6537, 0.4705], [0.7917, 0.7917, 0.2009], [0.9797, 0.9797, 0.7241], [0.1865, 0.1865, 0.2430], [0.8135, 0.8135, 0.7570], [0.5000, 0.5000, 0.5000]]}


{"formula": "Pr6Al2Pd", "functional": "PBE", "state": "relaxed", "magnetic_moment_mub_per_cell": 0.000, "formation_enthalpy_0k_ev_per_atom": -0.228, "e_tot_ev_per_atom": -4.823, "dos_at_fermi_per_ev_atom": 1.2067, "sg": "No. 14", "cell": [[5.8983, 0.0000, 0.0000], [0.0000, 9.0263, 0.0000], [-5.3545, 0.0000, 10.2129]], "species": ["Pr", "Pr", "Pr", "Pr", "Pr", "Pr", "Pr", "Pr", "Pr", "Pr", "Pr", "Pr", "Al", "Al", "Al", "Al", "Pd", "Pd"], "fractional_positions": [[0.0072, 0.1800, 0.4358], [0.0072, 0.3200, 0.9358], [0.3509, 0.0169, 0.2799], [0.3509, 0.4831, 0.7799], [0.3731, 0.6637, 0.4358], [0.3731, 0.8363, 0.9358], [0.6269, 0.1637, 0.0642], [0.6269, 0.3363, 0.5642], [0.6491, 0.5169, 0.2201], [0.6491, 0.9831, 0.7201], [0.9928, 0.6800, 0.0642], [0.9928, 0.8200, 0.5642], [0.1862, 0.1375, 0.7478], [0.1862, 0.3625, 0.2478], [0.8138, 0.6375, 0.7522], [0.8138, 0.8625, 0.2522], [0.0000, 0.0000, 0.0000], [0.0000, 0.5000, 0.5000]]}


{"formula": "PrAl2Pd3", "functional": "PBE", "state": "relaxed", "magnetic_moment_mub_per_cell": 0.000, "formation_enthalpy_0k_ev_per_atom": -0.843, "e_tot_ev_per_atom": -5.484, "dos_at_fermi_per_ev_atom": 0.5370, "sg": "No. 63", "cell": [[5.0133, -4.1444, 0.0000], [5.0133, 4.1444, 0.0000], [0.0000, 0.0000, 5.4472]], "species": ["Pr", "Pr", "Al", "Al", "Al", "Al", "Pd", "Pd", "Pd", "Pd", "Pd", "Pd"], "fractional_positions": [[0.1803, 0.8197, 0.7500], [0.8197, 0.1803, 0.2500], [0.2837, 0.2837, 0.0000], [0.2837, 0.2837, 0.5000], [0.7163, 0.7163, 0.0000], [0.7163, 0.7163, 0.5000], [0.0385, 0.6114, 0.2500], [0.3886, 0.9615, 0.2500], [0.4626, 0.5374, 0.2500], [0.5374, 0.4626, 0.7500], [0.6114, 0.0385, 0.7500], [0.9615, 0.3886, 0.7500]]}


{"formula": "Pr2Al5Pd", "functional": "PBE", "state": "relaxed", "magnetic_moment_mub_per_cell": 0.000, "formation_enthalpy_0k_ev_per_atom": -0.447, "e_tot_ev_per_atom": -4.630, "dos_at_fermi_per_ev_atom": 0.4875, "sg": "No. 107", "cell": [[-3.1314, 3.1314, 4.6001], [3.1314, -3.1314, 4.6001], [3.1314, 3.1314, -4.6001]], "species": ["Pr", "Pr", "Al", "Al", "Al", "Al", "Al", "Pd"], "fractional_positions": [[0.0000, 0.5000, 0.5000], [0.5000, 0.0000, 0.5000], [0.0272, 0.0272, 0.0000], [0.0314, 0.0314, 0.5656], [0.0314, 0.4658, 0.0000], [0.4658, 0.0314, 0.0000], [0.4658, 0.4658, 0.4344], [0.7581, 0.7581, 0.0000]]}


{"formula": "Pr2Al5Pd3", "functional": "PBE", "state": "relaxed", "magnetic_moment_mub_per_cell": 0.000, "de_polymorph_ev_per_fu": 0.54, "formation_enthalpy_0k_ev_per_atom": -0.735, "e_tot_ev_per_atom": -5.120, "dos_at_fermi_per_ev_atom": 0.5687, "sg": "No. 36", "cell": [[2.2144, -12.8457, 0.0000], [2.2144, 12.8457, 0.0000], [0.0000, 0.0000, 6.8006]], "species": ["Pr", "Pr", "Pr", "Pr", "Al", "Al", "Al", "Al", "Al", "Al", "Al", "Al", "Al", "Al", "Pd", "Pd", "Pd", "Pd", "Pd", "Pd"], "fractional_positions": [[0.0177, 0.9823, 0.5000], [0.3248, 0.6752, 0.4710], [0.6752, 0.3248, 0.9710], [0.9823, 0.0177, 0.0000], [0.1039, 0.8961, 0.1548], [0.2075, 0.7925, 0.6567], [0.2116, 0.7884, 0.2599], [0.3725, 0.6275, 0.9899], [0.4434, 0.5566, 0.3233], [0.5566, 0.4434, 0.8233], [0.6275, 0.3725, 0.4899], [0.7884, 0.2116, 0.7599], [0.7925, 0.2075, 0.1567], [0.8961, 0.1039, 0.6548], [0.1085, 0.8915, 0.7566], [0.2738, 0.7262, 0.9564], [0.4459, 0.5541, 0.7123], [0.5541, 0.4459, 0.2123], [0.7262, 0.2738, 0.4564], [0.8915, 0.1085, 0.2566]]}